! CePr3In12 (PBE, relaxed); values from VASP
! Spin magnetization ... 0.03 μB per atom
! Total DFT energy (no corrections) ... -3.779 eV per atom
&SYSTEM
  ibrav = 0, nat = 16, ntyp = 3
/
ATOMIC_SPECIES
In 114.82 In.upf
Pr 140.91 Pr.upf
Ce 140.12 Ce.upf
ATOMIC_POSITIONS angstrom
In 5.0140 -8.6771 0.9589
Pr 10.7852 -9.2132 1.4151
In 8.6238 -11.7608 1.4325
In 7.7821 -8.8341 2.8496
Pr 7.1852 -6.1379 0.9427
Ce 0.0000 0.0000 0.0000
In -2.1712 -2.5392 0.0162
In 4.1754 -5.7531 2.3764
In 11.3949 -11.9203 3.3236
Pr 3.5851 -3.0625 0.4704
In 8.0237 -9.0618 -0.4748
In 0.8042 -2.8946 -1.4220
In 1.4041 -5.5933 0.4853
In 0.5626 -2.6669 1.9024
In 11.6365 -12.1481 -0.0007
In 4.4170 -5.9809 -0.9480
CELL_PARAMETERS angstrom
-2.4128 -2.3114 3.3405
-1.9296 -2.7669 -3.3082
14.3703 -12.2758 1.8855